## DyTm2S2 (PBE)

Data for a relaxed structure of DyTm2S2.

Unit cell a=3.775 b=3.775 c=9.690 alpha=78.77 beta=78.77 gamma=60.00
Each line ends with the local moment (μB).
Atoms (fractional coordinates):
Tm (0.785, 0.785, 0.646)  0.16
Dy (0.000, 0.000, 0.000)  -0.02
S (0.608, 0.608, 0.176)  0.00
Tm (0.215, 0.215, 0.354)  0.16
S (0.392, 0.392, 0.824)  0.00

Values from the calculation:
Formation energy (no corrections) in kJ/mol of formula units: -753
D(E_F) in states/eV/atom: 0.74
SG: R-3m
Total magnetic moment in Bohr magnetons per cell: 0.44

***

## Er2TmPt (PBE)

Data for a relaxed structure of Er2TmPt.

Unit cell a=6.446 b=6.964 c=9.436 alpha=90.00 beta=90.00 gamma=90.00
Atoms (fractional coordinates):
Tm (0.627, 0.526, 0.250)
Pt (0.456, 0.892, 0.250)
Tm (0.373, 0.474, 0.750)
Pt (0.544, 0.108, 0.750)
Tm (0.127, 0.974, 0.750)
Er (0.181, 0.682, 0.060)
Er (0.181, 0.682, 0.440)
Er (0.819, 0.318, 0.560)
Pt (0.044, 0.392, 0.250)
Pt (0.956, 0.608, 0.750)
Er (0.819, 0.318, 0.940)
Er (0.319, 0.182, 0.440)
Er (0.681, 0.818, 0.940)
Er (0.319, 0.182, 0.060)
Er (0.681, 0.818, 0.560)
Tm (0.873, 0.026, 0.250)

Values from the calculation:
Polymorph energy (0 for the lowest one) in meV/atom: 0.0
Energy of formation from the pure elements in eV per formula unit: -3.0
D(E_F) in states/eV/atom: 1.08
SG: Pnma
Total magnetic moment in Bohr magnetons per cell: 0.00

***

## HoTmCu4 (PBE)

Data for a relaxed structure of HoTmCu4.

Unit cell a=5.227 b=5.227 c=5.227 alpha=60.00 beta=60.00 gamma=60.00
Atoms (fractional coordinates):
Ho (0.250, 0.250, 0.250)
Cu (0.625, 0.625, 0.124)
Cu (0.625, 0.625, 0.625)
Cu (0.625, 0.124, 0.625)
Tm (0.000, 0.000, 0.000)
Cu (0.124, 0.625, 0.625)

Values from the calculation:
Polymorph energy (0 for the lowest one) in meV/atom: 89.0
Energy of formation from the pure elements in eV per formula unit: -1.2
D(E_F) in states/eV/atom: 0.72
SG: F-43m
Total magnetic moment in Bohr magnetons per cell: 0.00

***

## Rb3Dy3InS8 (PBE)

Data for a relaxed structure of Rb3Dy3InS8.

Unit cell a=7.990 b=7.997 c=9.124 alpha=116.03 beta=90.00 gamma=119.98
Atoms (fractional coordinates):
S (0.730, 0.461, 0.691)
S (0.226, 0.961, 0.688)
S (0.270, 0.539, 0.309)
Rb (0.500, 0.500, 0.000)
Dy (0.000, 0.500, 0.500)
Rb (0.000, 0.000, 0.000)
S (0.774, 0.039, 0.312)
S (0.226, 0.452, 0.688)
S (0.265, 0.039, 0.312)
Dy (0.500, 0.000, 0.500)
Dy (0.500, 0.500, 0.500)
Rb (0.000, 0.500, 0.000)
S (0.735, 0.961, 0.688)
S (0.774, 0.548, 0.312)
In (0.000, 0.000, 0.500)

Values from the calculation:
Formation energy (no corrections) in kJ/mol of formula units: -2169
D(E_F) in states/eV/atom: 0.98
SG: C2/m
Total magnetic moment in Bohr magnetons per cell: 0.00

***

## ZnRe2W (PBE)

Data for a relaxed structure of ZnRe2W.

Unit cell a=7.216 b=7.216 c=5.742 alpha=51.07 beta=51.07 gamma=90.00
Atoms (fractional coordinates):
W (0.000, 0.000, 0.000)
W (0.750, 0.250, 0.500)
Re (0.097, 0.625, 0.250)
Re (0.875, 0.903, 0.750)
Re (0.653, 0.125, 0.250)
Zn (0.500, 0.500, 0.000)
Zn (0.250, 0.750, 0.500)
Re (0.375, 0.347, 0.750)

Values from the calculation:
Energy of formation from the pure elements in eV per formula unit: 4.0
D(E_F) in states/eV/atom: 0.79
SG: I-42d
Total magnetic moment in Bohr magnetons per cell: 0.00

***

## Y3Ho2Zn3 (PBE)

Data for a relaxed structure of Y3Ho2Zn3.

Unit cell a=3.596 b=5.173 c=11.183 alpha=103.37 beta=99.25 gamma=90.00
Atoms (fractional coordinates):
Y (0.500, 0.000, 0.000)
Zn (0.884, 0.884, 0.769)
Ho (0.729, 0.229, 0.457)
Y (0.382, 0.382, 0.763)
Y (0.618, 0.618, 0.237)
Zn (0.116, 0.116, 0.231)
Ho (0.271, 0.771, 0.543)
Zn (0.000, 0.500, 0.000)

Values from the calculation:
Energy of formation from the pure elements in eV per formula unit: -2.1
D(E_F) in states/eV/atom: 1.15
SG: Immm
Total magnetic moment in Bohr magnetons per cell: 0.00